The following is a PBE-GGA calculation of an optimized crystal structure of AlCoAg2, from Alexandria.

Values from the calculation:
Crystal system: tetragonal
Volume, Å³/atom: 15.0
Total magnetization, μB/f.u.: 0.000
DFT formation energy, kJ/mol of formula units: -16

abc: 2.9172 2.9172 7.0549
angles: 90.00 90.00 90.00
Space group P4mm (No. 99)
Asymmetric unit:
Al (0.0000, 0.0000, 0.0000) (multiplicity 1)
Co (0.5000, 0.5000, 0.1719) (multiplicity 1)
Ag (0.0000, 0.0000, 0.4311) (multiplicity 1)
Ag (0.5000, 0.5000, 0.7278) (multiplicity 1)